No. 1
VASP calculation (PBE) on Sc2PCl2 after structural relaxation.

Cell: 3.7026 3.7026 9.9577 Å, 79.29 79.29 60.00°
Closest atoms and distances in Å follow each position.
Fractional coordinates of all 5 atoms:
P 0.0000 0.0000 0.0000  6 Sc 2.59
Cl 0.7702 0.7702 0.6893  3 Sc 2.65
Cl 0.2298 0.2298 0.3107  3 Sc 2.65
Sc 0.6168 0.6168 0.1496  3 P 2.59, 3 Cl 2.65
Sc 0.3832 0.3832 0.8504  3 P 2.59, 3 Cl 2.65

Calculated values
Space group: No. 166
E: -6.2024 eV per atom

---

No. 2
VASP calculation (PBE) on Th2MoSe2Cl4 after structural relaxation.

Cell: 3.5437 3.5437 23.4288 Å, 90.00 90.00 120.00°
Closest atoms and distances in Å follow each position.
Fractional coordinates of all 9 atoms:
Se 0.6667 0.3333 0.2573  3 Mo 2.60
Se 0.6667 0.3333 0.3941  3 Mo 2.60
Th 0.6667 0.3333 0.6482  6 Cl 2.89-2.90
Th 0.0000 0.0000 0.9851  6 Cl 2.89-2.90
Mo 0.0000 0.0000 0.3257  6 Se 2.60
Cl 0.0000 0.0000 0.5608  3 Th 2.89
Cl 0.0000 0.0000 0.7358  3 Th 2.90
Cl 0.6667 0.3333 0.0726  3 Th 2.89
Cl 0.6667 0.3333 0.8976  3 Th 2.90

Calculated values
Space group: No. 156
E: -5.7646 eV per atom

---

No. 3
VASP calculation (PBE) on Pm4Nd3Au4 after structural relaxation.

Cell: 4.9895 7.7756 9.3511 Å, 114.57 105.47 90.00°
Closest atoms and distances in Å follow each position.
Fractional coordinates of all 11 atoms:
Au 0.5000 0.1882 0.0000  2 Pm 2.89, 1 Au 2.93
Au 0.7995 0.2995 0.5990  6 Pm 3.01-3.06, 1 Nd 3.26
Au 0.5000 0.8118 0.0000  2 Pm 2.89, 1 Au 2.93
Au 0.2005 0.7005 0.4010  6 Pm 3.01-3.06, 1 Nd 3.26
Nd 0.8998 0.8998 0.7996  1 Nd 3.26, 4 Au 3.32, 4 Pm 3.52
Nd 0.1002 0.1002 0.2004  1 Nd 3.26, 4 Au 3.32, 4 Pm 3.52
Nd 0.0000 0.5000 0.0000  6 Au 3.26-3.48
Pm 0.6721 0.4530 0.3442  4 Au 2.89-3.06
Pm 0.3279 0.1088 0.6558  4 Au 2.89-3.06
Pm 0.3279 0.5470 0.6558  4 Au 2.89-3.06
Pm 0.6721 0.8912 0.3442  4 Au 2.89-3.06

Calculated values
ΔE_f: -0.517 eV/atom
Space group: No. 71
E: -4.7366 eV per atom

---

No. 4
VASP calculation (PBE) on PmSbF after structural relaxation.

Cell: 4.4434 4.4432 7.9388 Å, 73.77 106.23 89.95°
Closest atoms and distances in Å follow each position.
Fractional coordinates of all 6 atoms:
Sb 0.0530 0.8293 0.2120  4 Pm 3.14, 4 Sb 3.14
Sb 0.5530 0.3293 0.2120  4 Pm 3.14, 4 Sb 3.14
Pm 0.9009 0.4814 0.9078  4 F 2.64
Pm 0.2051 0.1772 0.5162  4 F 2.64
F 0.8030 0.0792 0.7121  4 Pm 2.64
F 0.3030 0.5794 0.7120  4 Pm 2.64

Calculated values
Space group: No. 139
E: -5.5850 eV per atom
Offset from the most stable computed form: 0.106 eV/atom

---

No. 5
VASP calculation (PBE) on Ag3SbBr6 after structural relaxation.

Cell: 7.3459 7.2123 11.1214 Å, 90.00 91.07 90.00°
Closest atoms and distances in Å follow each position.
Fractional coordinates of all 20 atoms:
Br 0.3370 0.8269 0.0623  2 Ag 2.74-2.79, 1 Sb 2.85
Br 0.3814 0.6058 0.7366  2 Ag 2.76-2.83, 1 Sb 2.89
Br 0.6630 0.1731 0.9377  2 Ag 2.74-2.79, 1 Sb 2.85
Br 0.3381 0.8309 0.4158  2 Ag 2.75-2.94, 1 Sb 2.82
Br 0.1186 0.1058 0.7634  2 Ag 2.76-2.83, 1 Sb 2.89
Br 0.8370 0.6731 0.5623  2 Ag 2.74-2.79, 1 Sb 2.85
Br 0.1619 0.3309 0.0842  2 Ag 2.75-2.94, 1 Sb 2.82
Br 0.6186 0.3942 0.2634  2 Ag 2.76-2.83, 1 Sb 2.89
Br 0.8814 0.8942 0.2366  2 Ag 2.76-2.83, 1 Sb 2.89
Br 0.1630 0.3269 0.4377  2 Ag 2.74-2.79, 1 Sb 2.85
Br 0.6619 0.1691 0.5842  2 Ag 2.75-2.94, 1 Sb 2.82
Br 0.8381 0.6691 0.9158  2 Ag 2.75-2.94, 1 Sb 2.82
Sb 0.0000 0.0000 0.0000  6 Br 2.82-2.89
Sb 0.5000 0.5000 0.5000  6 Br 2.82-2.89
Ag 0.5192 0.0263 0.2425  4 Br 2.75-2.83
Ag 0.4808 0.9737 0.7575  4 Br 2.75-2.83
Ag 0.0000 0.0000 0.5000  4 Br 2.74-2.94
Ag 0.9808 0.5263 0.2575  4 Br 2.75-2.83
Ag 0.0192 0.4737 0.7425  4 Br 2.75-2.83
Ag 0.5000 0.5000 0.0000  4 Br 2.74-2.94

Calculated values
Space group: No. 14
E: -2.6752 eV per atom
Offset from the most stable computed form: 0.000 eV/atom

---

No. 6
VASP calculation (PBE) on In5AgO8 after structural relaxation.

Cell: 6.5951 6.5951 6.5951 Å, 60.00 60.00 60.00°
Closest atoms and distances in Å follow each position.
Fractional coordinates of all 14 atoms:
Ag 0.2500 0.2500 0.2500  4 O 2.26
In 0.0000 0.0000 0.0000  4 O 2.17
In 0.1326 0.6225 0.6225  6 O 2.17-2.27
In 0.6225 0.1326 0.6225  6 O 2.17-2.27
In 0.6225 0.6225 0.1326  6 O 2.17-2.27
In 0.6225 0.6225 0.6225  6 O 2.17-2.27
O 0.8657 0.8657 0.8657  4 In 2.17-2.27
O 0.8297 0.3901 0.3901  3 In 2.17, 1 Ag 2.26
O 0.8657 0.8657 0.4030  4 In 2.17-2.27
O 0.3901 0.3901 0.8297  3 In 2.17, 1 Ag 2.26
O 0.4030 0.8657 0.8657  4 In 2.17-2.27
O 0.8657 0.4030 0.8657  4 In 2.17-2.27
O 0.3901 0.8297 0.3901  3 In 2.17, 1 Ag 2.26
O 0.3901 0.3901 0.3901  3 In 2.17, 1 Ag 2.26

Calculated values
Space group: No. 216
E: -5.3456 eV per atom

---

No. 7
VASP calculation (PBE) on ScMnW2 after structural relaxation.

Cell: 7.2463 7.2463 5.7577 Å, 51.00 51.00 90.00°
Closest atoms and distances in Å follow each position.
Fractional coordinates of all 8 atoms:
W 0.0705 0.6250 0.2500  2 Mn 2.39
W 0.6795 0.1250 0.2500  2 Mn 2.39
W 0.3750 0.3205 0.7500  2 Mn 2.39
W 0.8750 0.9295 0.7500  2 Mn 2.39
Sc 0.2500 0.7500 0.5000  2 Mn 2.63, 4 W 2.93
Sc 0.5000 0.5000 0.0000  2 Mn 2.63, 4 W 2.93
Mn 0.0000 0.0000 0.0000  4 W 2.39, 2 Sc 2.63
Mn 0.7500 0.2500 0.5000  4 W 2.39, 2 Sc 2.63

Calculated values
ΔE_f: 0.643 eV/atom
Space group: No. 122
E: -9.7086 eV per atom
Offset from the most stable computed form: 0.554 eV/atom

---

No. 8
VASP calculation (PBE) on DyVSi2 after structural relaxation.

Cell: 4.1115 4.1115 5.5050 Å, 68.07 68.07 60.00°
Closest atoms and distances in Å follow each position.
Fractional coordinates of all 4 atoms:
Si 0.2810 0.2810 0.1571  3 V 2.50
Si 0.7190 0.7190 0.8429  3 V 2.50
V 0.0000 0.0000 0.0000  6 Si 2.50
Dy 0.5000 0.5000 0.5000  8 Si 2.92-3.26

Calculated values
Space group: No. 166
E: -6.5443 eV per atom

---

| no. | V (Å³ per cell) | total magnetic moment (μB/atom) |
| --- | --- | --- |
| 1 | 115.47 | 0.000 |
| 2 | 254.79 | 0.000 |
| 3 | 315.43 | 0.000 |
| 4 | 143.96 | 0.000 |
| 5 | 589.12 | 0.000 |
| 6 | 202.84 | 0.000 |
| 7 | 137.89 | 0.000 |
| 8 | 72.71 | 0.291 |